Record 1
DFT (PBE) results for a relaxed Sr2CrOs crystal.

Properties
Total energy = -5.0875 eV/atom
Magnetic moment = 1.0064 μB/atom
Relative energy among the computed polymorphs = 0.687 eV per atom
Formation enthalpy at 0 K = 22.3 kcal/mol of atoms
Calculated volume = 23.8 Å³ per atom

Cell lengths 5.119, 5.119, 7.271 Å; angles 90.00, 90.00, 90.00 degrees
Space group I-4m2 (No. 119)
Inequivalent atoms, fractional coordinates:
Sr (0.000, 0.000, 0.000) x2
Sr (0.000, 0.500, 0.250) x2
Cr (0.000, 0.500, 0.750) x2
Os (0.000, 0.000, 0.500) x2

---

Record 2
DFT (PBE) results for a relaxed CsNpUS4 crystal.

Properties
Total energy = -7.2361 eV/atom
Magnetic moment = 0.8571 μB/atom
Calculated volume = 32.2 Å³ per atom

Cell lengths 8.582, 8.664, 12.133 Å; angles 90.00, 90.00, 90.00 degrees
Space group Imma (No. 74)
Inequivalent atoms, fractional coordinates:
Cs (0.000, 0.250, 0.126) x4
Np (0.000, 0.000, 0.500) x4
U (0.250, 0.250, 0.750) x4
S (0.000, 0.053, 0.728) x8
S (0.201, 0.250, 0.527) x8

---

Record 3
DFT (PBE) results for a relaxed HPd3Pt crystal.

Properties
Total energy = -5.0279 eV/atom
Magnetic moment = 0.0000 μB/atom
Relative energy among the computed polymorphs = 0.003 eV per atom
Calculated volume = 13.0 Å³ per atom

Cell lengths 9.432, 2.812, 4.984 Å; angles 90.00, 99.24, 90.00 degrees
Space group Cm (No. 8)
Inequivalent atoms, fractional coordinates:
H (0.000, 0.000, 0.000) x2
Pd (0.063, 0.000, 0.683) x2
Pd (0.071, 0.500, 0.209) x2
Pd (0.308, 0.500, 0.942) x2
Pt (0.315, 0.000, 0.446) x2